# Tl4CrF6 (PBE with a Hubbard U, optimized geometry)
# - calculated volume (Å³ per cell) = 504.7
# - space group = No. 128
# - N(E_F) (states/eV per cell) = 5.2
# - total energy (eV/atom) = -4.49
# - size of the total moment (μB per cell) = 6.6
data_Tl4CrF6
_chemical_formula_sum 'Tl8 Cr2 F12'
_symmetry_space_group_name_H-M 'P 1'
_symmetry_Int_Tables_number 1
_cell_length_a 7.7907
_cell_length_b 7.7907
_cell_length_c 8.3155
_cell_angle_alpha 90.00
_cell_angle_beta 90.00
_cell_angle_gamma 90.00
loop_
_symmetry_equiv_pos_as_xyz
'x,y,z'
loop_
_atom_site_label
_atom_site_type_symbol
_atom_site_fract_x
_atom_site_fract_y
_atom_site_fract_z
_atom_site_occupancy
Tl1 Tl 0.3295 0.1705 0.2500 1
Tl2 Tl 0.1705 0.6705 0.7500 1
Tl3 Tl 0.6705 0.8295 0.7500 1
Tl4 Tl 0.8295 0.3295 0.7500 1
Tl5 Tl 0.3295 0.1705 0.7500 1
Tl6 Tl 0.1705 0.6705 0.2500 1
Tl7 Tl 0.8295 0.3295 0.2500 1
Tl8 Tl 0.6705 0.8295 0.2500 1
Cr1 Cr 0.5000 0.5000 0.0000 1
Cr2 Cr 0.0000 0.0000 0.5000 1
F1 F 0.2353 0.9025 0.5000 1
F2 F 0.7353 0.5975 0.0000 1
F3 F 0.5975 0.2647 0.0000 1
F4 F 0.0975 0.2353 0.5000 1
F5 F 0.0000 0.0000 0.2626 1
F6 F 0.5000 0.5000 0.2374 1
F7 F 0.4025 0.7353 0.0000 1
F8 F 0.0000 0.0000 0.7374 1
F9 F 0.2647 0.4025 0.0000 1
F10 F 0.5000 0.5000 0.7626 1
F11 F 0.9025 0.7647 0.5000 1
F12 F 0.7647 0.0975 0.5000 1

***

# Tl2Cr3F8 (PBE with a Hubbard U, optimized geometry)
# - calculated volume (Å³ per cell) = 244.2
# - space group = No. 2
# - N(E_F) (states/eV per cell) = 0.0
# - total energy (eV/atom) = -5.57
# - size of the total moment (μB per cell) = 12.0
data_Tl2Cr3F8
_chemical_formula_sum 'Tl2 Cr3 F8'
_symmetry_space_group_name_H-M 'P 1'
_symmetry_Int_Tables_number 1
_cell_length_a 7.0279
_cell_length_b 5.6383
_cell_length_c 7.5602
_cell_angle_alpha 110.57
_cell_angle_beta 118.89
_cell_angle_gamma 85.18
loop_
_symmetry_equiv_pos_as_xyz
'x,y,z'
loop_
_atom_site_label
_atom_site_type_symbol
_atom_site_fract_x
_atom_site_fract_y
_atom_site_fract_z
_atom_site_occupancy
Tl1 Tl 0.2958 0.3334 0.5769 1
Tl2 Tl 0.7042 0.6666 0.4231 1
Cr1 Cr 0.0000 0.5000 0.0000 1
Cr2 Cr 0.7438 0.9891 0.0047 1
Cr3 Cr 0.2562 0.0109 0.9953 1
F1 F 0.5616 0.9555 0.1911 1
F2 F 0.4384 0.0445 0.8089 1
F3 F 0.0486 0.8836 0.1778 1
F4 F 0.9514 0.1164 0.8222 1
F5 F 0.1466 0.6392 0.8237 1
F6 F 0.7002 0.6054 0.8227 1
F7 F 0.2998 0.3946 0.1773 1
F8 F 0.8534 0.3608 0.1763 1

***

# TlCrF2 (PBE with a Hubbard U, optimized geometry)
# - calculated volume (Å³ per cell) = 79.2
# - space group = No. 166
# - N(E_F) (states/eV per cell) = 2.5
# - polymorph energy (0 for the lowest one) (eV/f.u.) = 0.00
# - size of the total moment (μB per cell) = 4.2
data_TlCrF2
_chemical_formula_sum 'Tl1 Cr1 F2'
_symmetry_space_group_name_H-M 'P 1'
_symmetry_Int_Tables_number 1
_cell_length_a 8.0603
_cell_length_b 8.0603
_cell_length_c 8.0603
_cell_angle_alpha 24.51
_cell_angle_beta 24.51
_cell_angle_gamma 24.51
loop_
_symmetry_equiv_pos_as_xyz
'x,y,z'
loop_
_atom_site_label
_atom_site_type_symbol
_atom_site_fract_x
_atom_site_fract_y
_atom_site_fract_z
_atom_site_occupancy
Cr1 Cr 0.5000 0.5000 0.5000 1
Tl1 Tl 0.0000 0.0000 0.0000 1
F1 F 0.8734 0.8734 0.8734 1
F2 F 0.1266 0.1266 0.1266 1

***

# TlCrF6 (PBE with a Hubbard U, optimized geometry)
# - calculated volume (Å³ per cell) = 123.6
# - space group = No. 166
# - N(E_F) (states/eV per cell) = 4.2
# - total energy (eV/atom) = -4.64
# - size of the total moment (μB per cell) = 1.0
data_TlCrF6
_chemical_formula_sum 'Tl1 Cr1 F6'
_symmetry_space_group_name_H-M 'P 1'
_symmetry_Int_Tables_number 1
_cell_length_a 5.3493
_cell_length_b 5.3493
_cell_length_c 5.8680
_cell_angle_alpha 62.88
_cell_angle_beta 62.88
_cell_angle_gamma 60.00
loop_
_symmetry_equiv_pos_as_xyz
'x,y,z'
loop_
_atom_site_label
_atom_site_type_symbol
_atom_site_fract_x
_atom_site_fract_y
_atom_site_fract_z
_atom_site_occupancy
Tl1 Tl 0.5000 0.5000 0.5000 1
Cr1 Cr 0.0000 0.0000 0.0000 1
F1 F 0.9127 0.9127 0.7861 1
F2 F 0.3885 0.9127 0.7861 1
F3 F 0.0873 0.6115 0.2139 1
F4 F 0.6115 0.0873 0.2139 1
F5 F 0.0873 0.0873 0.2139 1
F6 F 0.9127 0.3885 0.7861 1

***

# Tl2Cr3F9 (PBE with a Hubbard U, optimized geometry)
# - calculated volume (Å³ per cell) = 475.9
# - space group = No. 15
# - N(E_F) (states/eV per cell) = 1.4
# - total energy (eV/atom) = -5.54
# - size of the total moment (μB per cell) = 22.0
data_Tl2Cr3F9
_chemical_formula_sum 'Tl4 Cr6 F18'
_symmetry_space_group_name_H-M 'P 1'
_symmetry_Int_Tables_number 1
_cell_length_a 7.8434
_cell_length_b 7.8434
_cell_length_c 10.2153
_cell_angle_alpha 113.41
_cell_angle_beta 124.33
_cell_angle_gamma 75.41
loop_
_symmetry_equiv_pos_as_xyz
'x,y,z'
loop_
_atom_site_label
_atom_site_type_symbol
_atom_site_fract_x
_atom_site_fract_y
_atom_site_fract_z
_atom_site_occupancy
Tl1 Tl 0.4490 0.2791 0.7492 1
Tl2 Tl 0.5510 0.7209 0.2508 1
Tl3 Tl 0.0298 0.6998 0.7508 1
Tl4 Tl 0.9702 0.3002 0.2492 1
Cr1 Cr 0.5000 0.0000 0.0000 1
Cr2 Cr 0.5000 0.5000 0.5000 1
Cr3 Cr 0.8435 0.1718 0.5000 1
Cr4 Cr 0.1565 0.8282 0.5000 1
Cr5 Cr 0.1718 0.3435 0.0000 1
Cr6 Cr 0.8282 0.6565 0.0000 1
F1 F 0.3692 0.9641 0.7551 1
F2 F 0.6308 0.0359 0.2449 1
F3 F 0.7090 0.6141 0.7449 1
F4 F 0.2910 0.3859 0.2551 1
F5 F 0.5490 0.6629 0.9612 1
F6 F 0.4510 0.3371 0.0388 1
F7 F 0.2017 0.5878 0.5388 1
F8 F 0.7983 0.4122 0.4612 1
F9 F 0.0442 0.2942 0.7500 1
F10 F 0.9558 0.7058 0.2500 1
F11 F 0.2134 0.0720 0.9700 1
F12 F 0.7866 0.9280 0.0300 1
F13 F 0.6020 0.2434 0.5300 1
F14 F 0.3980 0.7566 0.4700 1
F15 F 0.9128 0.9163 0.5347 1
F16 F 0.0872 0.0837 0.4653 1
F17 F 0.8817 0.3781 0.9653 1
F18 F 0.1183 0.6219 0.0347 1

***

# Tl5Cr2F12 (PBE with a Hubbard U, optimized geometry)
# - calculated volume (Å³ per cell) = 369.3
# - space group = No. 12
# - N(E_F) (states/eV per cell) = 2.6
# - total energy (eV/atom) = -4.75
# - size of the total moment (μB per cell) = 6.9
data_Tl5Cr2F12
_chemical_formula_sum 'Tl5 Cr2 F12'
_symmetry_space_group_name_H-M 'P 1'
_symmetry_Int_Tables_number 1
_cell_length_a 6.2634
_cell_length_b 7.7069
_cell_length_c 8.4932
_cell_angle_alpha 98.80
_cell_angle_beta 90.00
_cell_angle_gamma 113.98
loop_
_symmetry_equiv_pos_as_xyz
'x,y,z'
loop_
_atom_site_label
_atom_site_type_symbol
_atom_site_fract_x
_atom_site_fract_y
_atom_site_fract_z
_atom_site_occupancy
Tl1 Tl 0.2987 0.5973 0.6453 1
Tl2 Tl 0.2913 0.5826 0.1875 1
Tl3 Tl 0.0000 0.0000 0.5000 1
Tl4 Tl 0.7087 0.4174 0.8125 1
Tl5 Tl 0.7013 0.4027 0.3547 1
Cr1 Cr 0.7510 0.0000 0.0000 1
Cr2 Cr 0.2490 0.0000 0.0000 1
F1 F 0.0041 0.0083 0.1500 1
F2 F 0.1151 0.7263 0.9712 1
F3 F 0.6112 0.7263 0.9712 1
F4 F 0.1054 0.7347 0.4588 1
F5 F 0.6292 0.7347 0.4588 1
F6 F 0.4979 0.9957 0.8516 1
F7 F 0.5021 0.0043 0.1484 1
F8 F 0.8946 0.2653 0.5412 1
F9 F 0.3708 0.2653 0.5412 1
F10 F 0.8849 0.2737 0.0288 1
F11 F 0.3888 0.2737 0.0288 1
F12 F 0.9959 0.9917 0.8500 1

***

# Tl2Cr2F7 (PBE with a Hubbard U, optimized geometry)
# - calculated volume (Å³ per cell) = 199.0
# - space group = No. 12
# - N(E_F) (states/eV per cell) = 1.0
# - polymorph energy (0 for the lowest one) (eV/f.u.) = 0.00
# - size of the total moment (μB per cell) = 7.0
data_Tl2Cr2F7
_chemical_formula_sum 'Tl2 Cr2 F7'
_symmetry_space_group_name_H-M 'P 1'
_symmetry_Int_Tables_number 1
_cell_length_a 3.8940
_cell_length_b 7.7277
_cell_length_c 7.7277
_cell_angle_alpha 121.13
_cell_angle_beta 89.93
_cell_angle_gamma 89.93
loop_
_symmetry_equiv_pos_as_xyz
'x,y,z'
loop_
_atom_site_label
_atom_site_type_symbol
_atom_site_fract_x
_atom_site_fract_y
_atom_site_fract_z
_atom_site_occupancy
Tl1 Tl 0.5000 0.7377 0.2623 1
Tl2 Tl 0.5000 0.2623 0.7377 1
Cr1 Cr 0.0050 0.2621 0.2621 1
Cr2 Cr 0.9950 0.7379 0.7379 1
F1 F 0.0054 0.4328 0.1454 1
F2 F 0.9946 0.8546 0.5672 1
F3 F 0.9946 0.5672 0.8546 1
F4 F 0.0054 0.1454 0.4328 1
F5 F 0.4952 0.6975 0.6975 1
F6 F 0.0000 0.0000 0.0000 1
F7 F 0.5048 0.3025 0.3025 1

***

# TlCrF2 (PBE with a Hubbard U, optimized geometry)
# - calculated volume (Å³ per cell) = 88.4
# - space group = No. 166
# - N(E_F) (states/eV per cell) = 0.7
# - polymorph energy (0 for the lowest one) (eV/f.u.) = 0.41
# - size of the total moment (μB per cell) = 4.5
data_TlCrF2
_chemical_formula_sum 'Tl1 Cr1 F2'
_symmetry_space_group_name_H-M 'P 1'
_symmetry_Int_Tables_number 1
_cell_length_a 7.7095
_cell_length_b 7.7095
_cell_length_c 7.7095
_cell_angle_alpha 27.87
_cell_angle_beta 27.87
_cell_angle_gamma 27.87
loop_
_symmetry_equiv_pos_as_xyz
'x,y,z'
loop_
_atom_site_label
_atom_site_type_symbol
_atom_site_fract_x
_atom_site_fract_y
_atom_site_fract_z
_atom_site_occupancy
Cr1 Cr 0.0000 0.0000 0.0000 1
Tl1 Tl 0.5000 0.5000 0.5000 1
F1 F 0.9117 0.9117 0.9117 1
F2 F 0.0883 0.0883 0.0883 1

***

# Tl2CrF8 (PBE with a Hubbard U, optimized geometry)
# - calculated volume (Å³ per cell) = 173.9
# - space group = No. 147
# - N(E_F) (states/eV per cell) = 3.3
# - total energy (eV/atom) = -4.49
# - size of the total moment (μB per cell) = 3.0
data_Tl2CrF8
_chemical_formula_sum 'Tl2 Cr1 F8'
_symmetry_space_group_name_H-M 'P 1'
_symmetry_Int_Tables_number 1
_cell_length_a 4.5044
_cell_length_b 6.6765
_cell_length_c 6.6764
_cell_angle_alpha 120.01
_cell_angle_beta 90.00
_cell_angle_gamma 90.00
loop_
_symmetry_equiv_pos_as_xyz
'x,y,z'
loop_
_atom_site_label
_atom_site_type_symbol
_atom_site_fract_x
_atom_site_fract_y
_atom_site_fract_z
_atom_site_occupancy
Cr1 Cr 0.0000 0.0000 0.0000 1
Tl1 Tl 0.2253 0.3333 0.6667 1
Tl2 Tl 0.7747 0.6667 0.3333 1
F1 F 0.2757 0.6667 0.3332 1
F2 F 0.7243 0.3333 0.6667 1
F3 F 0.7590 0.8583 0.1388 1
F4 F 0.2410 0.1389 0.2805 1
F5 F 0.2410 0.7195 0.8583 1
F6 F 0.2410 0.1417 0.8612 1
F7 F 0.7590 0.8611 0.7195 1
F8 F 0.7590 0.2805 0.1417 1

***

Q: N(E_F) of number 5 (Tl2Cr3F9)?
A: 1.4 states/eV per cell

***

Q: What is the N(E_F) in the ninth record?
A: 3.3 states/eV per cell

***

Q: Which value of N(E_F) does entry 8 give?
A: 0.7 states/eV per cell

***

Q: Which formula does entry 6 have?
A: Tl5Cr2F12